DFT (PBE-GGA) results for an optimized crystal structure of YHgSe2N.

Cell lengths 5.307, 5.307, 4.147 Å; angles 90.00, 90.00, 90.00 degrees
Space group P4/mmm (No. 123)
Asymmetric unit:
Y (0.000, 0.000, 0.000) [1 per cell]
Hg (0.500, 0.500, 0.500) [1 per cell]
Se (0.000, 0.500, 0.500) [2 per cell]
N (0.500, 0.500, 0.000) [1 per cell]

## Properties
DFT total energy = -4.05 eV/atom
raw formation energy = 363 meV per atom
V = 23.4 Å³/atom
energy above the most stable polymorph in this dataset = 222 meV/atom

DFT (PBE-GGA) results for an optimized crystal structure of YHgSe2N.

Cell lengths 5.568, 5.568, 4.516 Å; angles 90.00, 90.00, 90.00 degrees
Space group P4/mmm (No. 123)
Asymmetric unit:
Y (0.000, 0.000, 0.000) [1 per cell]
Hg (0.500, 0.500, 0.500) [1 per cell]
Se (0.000, 0.500, 0.000) [2 per cell]
N (0.000, 0.000, 0.500) [1 per cell]

## Properties
DFT total energy = -4.27 eV/atom
raw formation energy = 140 meV per atom
V = 28.0 Å³/atom
energy above the most stable polymorph in this dataset = 0 meV/atom

DFT (PBE-GGA) results for an optimized crystal structure of YHgSeN2.

Cell lengths 4.278, 4.278, 5.235 Å; angles 90.00, 90.00, 90.00 degrees
Space group P4/mmm (No. 123)
Asymmetric unit:
Y (0.000, 0.000, 0.000) [1 per cell]
Hg (0.500, 0.500, 0.500) [1 per cell]
Se (0.500, 0.500, 0.000) [1 per cell]
N (0.000, 0.500, 0.500) [2 per cell]

## Properties
DFT total energy = -4.40 eV/atom
raw formation energy = 976 meV per atom
V = 19.2 Å³/atom
energy above the most stable polymorph in this dataset = 306 meV/atom

DFT (PBE-GGA) results for an optimized crystal structure of YHgSeN2.

Cell lengths 4.546, 4.546, 5.840 Å; angles 90.00, 90.00, 90.00 degrees
Space group P4/mmm (No. 123)
Asymmetric unit:
Y (0.000, 0.000, 0.000) [1 per cell]
Hg (0.500, 0.500, 0.500) [1 per cell]
Se (0.000, 0.000, 0.500) [1 per cell]
N (0.000, 0.500, 0.000) [2 per cell]

## Properties
DFT total energy = -4.71 eV/atom
raw formation energy = 669 meV per atom
V = 24.1 Å³/atom
energy above the most stable polymorph in this dataset = 0 meV/atom

DFT (PBE-GGA) results for an optimized crystal structure of Si3HgN.

Cell lengths 4.974, 4.974, 4.974 Å; angles 90.00, 90.00, 90.00 degrees
Space group Pm-3m (No. 221)
Asymmetric unit:
Si (0.000, 0.000, 0.500) [3 per cell]
Hg (0.000, 0.000, 0.000) [1 per cell]
N (0.500, 0.500, 0.500) [1 per cell]

## Properties
DFT total energy = -2.61 eV/atom
raw formation energy = 2369 meV per atom
V = 24.6 Å³/atom
energy above the most stable polymorph in this dataset = 1601 meV/atom

DFT (PBE-GGA) results for an optimized crystal structure of SiHgN2.

Cell lengths 3.7252, 3.7252, 16.7934 Å; angles 90.00, 90.00, 120.00 degrees
Space group R-3m (No. 166, hexagonal axes)
Asymmetric unit:
Si (0.0000, 0.0000, 0.0000) [3 per cell]
Hg (0.0000, 0.0000, 0.5000) [3 per cell]
N (0.0000, 0.0000, 0.0968) [6 per cell]

## Properties
DFT total energy = -4.72 eV/atom
raw formation energy = 873 meV per atom
V = 16.8 Å³/atom
energy above the most stable polymorph in this dataset = 1076 meV/atom